## CaErCuPd (PBE)

Data for a relaxed structure of CaErCuPd.

Cell: 4.937 4.937 4.937 Å, 60.00 60.00 60.00°
Positions (direct):
Er  0.500  0.500  0.500
Cu  0.250  0.250  0.250
Pd  0.750  0.750  0.750
Ca  0.000  0.000  0.000

Summary:
DOS at the Fermi energy (states/eV/cell): 1.65
Crystal system: cubic
Polymorph energy (0 for the lowest one) (eV per atom): 0.044
SG: F-43m
Formation energy (eV/f.u.): -1.864